## MgTa2Br (PBE)

Data for a relaxed MgTa2Br crystal.

Output
spin magnetization = 0.00 μB per cell
uncorrected formation energy = 1.8 eV per formula unit

Unit cell a=5.3709 b=3.1824 c=4.8535 alpha=95.32 beta=90.00 gamma=90.00
Last column: nearest neighbours and their distance in Å.
Sites, in units of the cell vectors:
Br1 0.5000 0.2500 0.2500  4 Mg 2.78-3.02, 4 Ta 3.07
Mg1 0.5000 0.7500 0.7500  4 Br 2.78-3.02, 4 Ta 2.99
Ta1 0.0000 0.0224 0.9689  2 Ta 2.61-2.68
Ta2 0.0000 0.4776 0.5311  2 Ta 2.61-2.68

***

## MgTa2Br (PBE)

Data for a relaxed MgTa2Br crystal.

Output
spin magnetization = 0.00 μB per cell
uncorrected formation energy = 2.6 eV per formula unit

Unit cell a=3.9131 b=3.9131 c=11.2261 alpha=79.96 beta=79.96 gamma=90.00
Last column: nearest neighbours and their distance in Å.
Sites, in units of the cell vectors:
Mg1 0.5000 0.5000 0.0000  4 Br 2.77, 4 Ta 3.04
Mg2 0.2500 0.7500 0.5000  4 Br 2.77, 4 Ta 3.04
Br1 0.0000 0.0000 0.0000  4 Mg 2.77, 4 Ta 3.06
Br2 0.7500 0.2500 0.5000  4 Mg 2.77, 4 Ta 3.06
Ta1 0.6152 0.1250 0.2500  4 Ta 2.71-2.82
Ta2 0.1348 0.6250 0.2500  4 Ta 2.71-2.82
Ta3 0.3750 0.3848 0.7500  4 Ta 2.71-2.82
Ta4 0.8750 0.8652 0.7500  4 Ta 2.71-2.82

***

## MgTaBr2 (PBE)

Data for a relaxed MgTaBr2 crystal.

Output
spin magnetization = 0.00 μB per cell
uncorrected formation energy = -0.6 eV per formula unit

Unit cell a=7.9112 b=7.9112 c=5.1968 alpha=70.81 beta=70.81 gamma=23.28
Last column: nearest neighbours and their distance in Å.
Sites, in units of the cell vectors:
Br1 0.1056 0.1056 0.8926  2 Ta 2.64
Br2 0.3944 0.3944 0.6074  2 Ta 2.64
Mg1 0.2500 0.2500 0.2500  4 Ta 3.05, 2 Mg 3.19, 4 Br 3.34-3.35
Ta1 0.7500 0.7500 0.7500  4 Br 2.64